Record 1
Density functional theory data (PBE) for PrNd2Er9 after structural relaxation.

Output
uncorrected energy	-0.1674	Ha/atom
space-group type	No. 191
ΔE_f	0.73	eV per formula unit

Cell lengths 11.2406, 11.2406, 3.5146 Å; angles 90.00, 90.00, 120.00 degrees
Last column: nearest neighbours and their distance in Å.
Fractional positions:
Pr  0.0000  0.0000  0.0000  2 Pr 3.51, 12 Er 3.85
Nd  0.3333  0.6667  0.0000  9 Er 3.24-3.53, 2 Nd 3.51
Nd  0.6667  0.3333  0.0000  9 Er 3.24-3.53, 2 Nd 3.51
Er  0.0000  0.5000  0.0000  2 Nd 3.24, 10 Er 3.51-3.61
Er  0.1762  0.3525  0.5000  8 Er 3.43-3.61, 2 Nd 3.53
Er  0.1762  0.8238  0.5000  8 Er 3.43-3.61, 2 Nd 3.53
Er  0.3525  0.1762  0.5000  8 Er 3.43-3.61, 2 Nd 3.53
Er  0.5000  0.0000  0.0000  2 Nd 3.24, 10 Er 3.51-3.61
Er  0.5000  0.5000  0.0000  2 Nd 3.24, 10 Er 3.51-3.61
Er  0.6475  0.8238  0.5000  8 Er 3.43-3.61, 2 Nd 3.53
Er  0.8238  0.1762  0.5000  8 Er 3.43-3.61, 2 Nd 3.53
Er  0.8238  0.6475  0.5000  8 Er 3.43-3.61, 2 Nd 3.53


Record 2
Density functional theory data (PBE) for Pr2NdEr2 after structural relaxation.

Output
uncorrected energy	-0.1621	Ha/atom
space-group type	No. 15
ΔE_f	1.40	eV per formula unit

Cell lengths 8.2716, 8.2716, 6.1028 Å; angles 103.46, 103.46, 110.27 degrees
Last column: nearest neighbours and their distance in Å.
Fractional positions:
Pr  0.1082  0.2602  0.3818  1 Pr 3.19, 2 Er 3.37-3.44, 2 Nd 3.40-3.51
Pr  0.2602  0.1082  0.8818  1 Pr 3.19, 2 Er 3.37-3.44, 2 Nd 3.40-3.51
Pr  0.7398  0.8918  0.1182  1 Pr 3.19, 2 Er 3.37-3.44, 2 Nd 3.40-3.51
Pr  0.8918  0.7398  0.6182  1 Pr 3.19, 2 Er 3.37-3.44, 2 Nd 3.40-3.51
Nd  0.4320  0.5680  0.2500  4 Pr 3.40-3.51, 4 Er 3.54-3.63, 2 Nd 3.57
Nd  0.5680  0.4320  0.7500  4 Pr 3.40-3.51, 4 Er 3.54-3.63, 2 Nd 3.57
Er  0.1689  0.8311  0.2500  2 Er 3.53, 1 Nd 3.57, 6 Pr 3.59-3.74
Er  0.3002  0.6998  0.7500  4 Pr 3.37-3.44, 2 Er 3.53, 3 Nd 3.54-3.63
Er  0.6998  0.3002  0.2500  4 Pr 3.37-3.44, 2 Er 3.53, 3 Nd 3.54-3.63
Er  0.8311  0.1689  0.7500  2 Er 3.53, 1 Nd 3.57, 6 Pr 3.59-3.74


| no. | E above lowest polymorph (meV/atom) |
| --- | --- |
| 1 | 35 |
| 2 | 273 |